Below is an optimized crystal structure of CsSnTe2, with properties calculated at the PBE-GGA level.

Properties
**Uncorrected energy**: -0.227 Ry per atom
**Formation energy from raw total energies**: -0.300 eV per atom
**Volume**: 45.1 A^3/atom

Structure (CIF):
```
data_CsSnTe2
_cell_length_a 4.4338
_cell_length_b 4.4338
_cell_length_c 31.8022
_cell_angle_alpha 90.00
_cell_angle_beta 90.00
_cell_angle_gamma 120.00
_space_group_name_H-M_alt 'R -3 m'
_space_group_IT_number 166
_space_group_name_Hall '-R 3 2"'
loop_
_atom_site_label
_atom_site_fract_x
_atom_site_fract_y
_atom_site_fract_z
Cs1 0.0000 0.0000 0.0000
Sn1 0.0000 0.0000 0.5000
Te1 0.0000 0.0000 0.1128
```

***

Below is an optimized crystal structure of Er4TlCu3, with properties calculated at the PBE-GGA level.

Properties
**Uncorrected energy**: -0.321 Ry per atom
**Formation enthalpy at 0 K**: -261 meV/atom
**Volume**: 22.0 A^3/atom

Structure (CIF):
```
data_Er4TlCu3
_cell_length_a 4.9830
_cell_length_b 4.9830
_cell_length_c 24.5184
_cell_angle_alpha 90.00
_cell_angle_beta 90.00
_cell_angle_gamma 120.00
_space_group_name_H-M_alt 'R -3 m'
_space_group_IT_number 166
_space_group_name_Hall '-R 3 2"'
loop_
_atom_site_label
_atom_site_fract_x
_atom_site_fract_y
_atom_site_fract_z
Er1 0.0000 0.0000 0.1175
Er2 0.0000 0.0000 0.3690
Tl1 0.0000 0.0000 0.5000
Cu1 0.0000 0.0000 0.0000
Cu2 0.0000 0.0000 0.2480
```

***

Below is an optimized crystal structure of YTh5Sb4, with properties calculated at the PBE-GGA level.

Properties
**Uncorrected energy**: -0.478 Ry per atom
**Formation energy from raw total energies**: -0.499 eV per atom
**Volume**: 33.7 A^3/atom

Structure (CIF):
```
data_YTh5Sb4
_cell_length_a 18.636
_cell_length_b 4.239
_cell_length_c 8.733
_cell_angle_alpha 90.00
_cell_angle_beta 102.03
_cell_angle_gamma 90.00
_space_group_name_H-M_alt 'C 1 2/m 1'
_space_group_IT_number 12
_space_group_name_Hall '-C 2y'
loop_
_atom_site_label
_atom_site_fract_x
_atom_site_fract_y
_atom_site_fract_z
Y1 0.000 0.000 0.000
Th1 0.000 0.000 0.500
Th2 0.165 0.500 0.797
Th3 0.184 0.500 0.354
Sb1 0.009 0.500 0.246
Sb2 0.166 0.000 0.070
```

***

Below is an optimized crystal structure of PrHo2Au, with properties calculated at the PBE-GGA level.

Properties
**Uncorrected energy**: -0.347 Ry per atom
**ΔE to the lowest computed polymorph**: 0 meV per atom
**Formation enthalpy at 0 K**: -414 meV/atom
**Volume**: 29.2 A^3/atom

Structure (CIF):
```
data_PrHo2Au
_cell_length_a 4.951
_cell_length_b 12.129
_cell_length_c 7.775
_cell_angle_alpha 90.00
_cell_angle_beta 90.00
_cell_angle_gamma 90.00
_space_group_name_H-M_alt 'C m c m'
_space_group_IT_number 63
_space_group_name_Hall '-C 2c 2'
loop_
_atom_site_label
_atom_site_fract_x
_atom_site_fract_y
_atom_site_fract_z
Pr1 0.000 0.049 0.250
Ho1 0.000 0.354 0.035
Au1 0.000 0.205 0.750
```

***

Below is an optimized crystal structure of PmSmPbSe, with properties calculated at the PBE-GGA level.

Properties
**Uncorrected energy**: -0.393 Ry per atom
**Formation energy from raw total energies**: -1.177 eV per atom
**Volume**: 29.8 A^3/atom

Structure (CIF):
```
data_PmSmPbSe
_cell_length_a 4.385
_cell_length_b 4.385
_cell_length_c 6.191
_cell_angle_alpha 90.00
_cell_angle_beta 90.00
_cell_angle_gamma 90.00
_space_group_name_H-M_alt 'P 4/m m m'
_space_group_IT_number 123
_space_group_name_Hall '-P 4 2'
loop_
_atom_site_label
_atom_site_fract_x
_atom_site_fract_y
_atom_site_fract_z
Pm1 0.000 0.000 0.000
Sm1 0.500 0.500 0.500
Pb1 0.500 0.500 0.000
Se1 0.000 0.000 0.500
```

***

Below is an optimized crystal structure of SrCd9Cu3, with properties calculated at the PBE-GGA level.

Properties
**Uncorrected energy**: -0.132 Ry per atom
**Formation enthalpy at 0 K**: -84 meV/atom
**Volume**: 20.8 A^3/atom

Structure (CIF):
```
data_SrCd9Cu3
_cell_length_a 5.423
_cell_length_b 14.168
_cell_length_c 7.521
_cell_angle_alpha 90.00
_cell_angle_beta 110.59
_cell_angle_gamma 90.00
_space_group_name_H-M_alt 'C 1 2/m 1'
_space_group_IT_number 12
_space_group_name_Hall '-C 2y'
loop_
_atom_site_label
_atom_site_fract_x
_atom_site_fract_y
_atom_site_fract_z
Sr1 0.000 0.000 0.000
Cd1 0.000 0.000 0.500
Cd2 0.096 0.388 0.213
Cd3 0.170 0.179 0.339
Cu1 0.000 0.500 0.500
Cu2 0.250 0.250 0.000
```

***

Below is an optimized crystal structure of Cr2CdPb, with properties calculated at the PBE-GGA level.

Properties
**Uncorrected energy**: -0.397 Ry per atom
**Formation enthalpy at 0 K**: 570 meV/atom
**Volume**: 20.2 A^3/atom

Structure (CIF):
```
data_Cr2CdPb
_cell_length_a 3.364
_cell_length_b 3.605
_cell_length_c 6.651
_cell_angle_alpha 90.00
_cell_angle_beta 90.00
_cell_angle_gamma 90.00
_space_group_name_H-M_alt 'P m m m'
_space_group_IT_number 47
_space_group_name_Hall '-P 2 2'
loop_
_atom_site_label
_atom_site_fract_x
_atom_site_fract_y
_atom_site_fract_z
Cr1 0.000 0.000 0.236
Cd1 0.500 0.500 0.000
Pb1 0.500 0.500 0.500
```

***

Below is an optimized crystal structure of MgReAg2Mo, with properties calculated at the PBE-GGA level.

Properties
**Uncorrected energy**: -0.309 Ry per atom
**Formation enthalpy at 0 K**: 1915 meV/atom
**Volume**: 19.0 A^3/atom

Structure (CIF):
```
data_MgReAg2Mo
_cell_length_a 4.409
_cell_length_b 4.409
_cell_length_c 4.883
_cell_angle_alpha 90.00
_cell_angle_beta 90.00
_cell_angle_gamma 90.00
_space_group_name_H-M_alt 'P 4/m m m'
_space_group_IT_number 123
_space_group_name_Hall '-P 4 2'
loop_
_atom_site_label
_atom_site_fract_x
_atom_site_fract_y
_atom_site_fract_z
Mg1 0.000 0.000 0.000
Re1 0.500 0.500 0.500
Ag1 0.000 0.500 0.000
Mo1 0.000 0.000 0.500
```

***

Below is an optimized crystal structure of DyZnPtO4, with properties calculated at the PBE-GGA level.

Properties
**Uncorrected energy**: -0.455 Ry per atom
**Formation energy from raw total energies**: -1.650 eV per atom
**Volume**: 13.6 A^3/atom

Structure (CIF):
```
data_DyZnPtO4
_cell_length_a 6.338
_cell_length_b 6.701
_cell_length_c 8.987
_cell_angle_alpha 90.00
_cell_angle_beta 90.00
_cell_angle_gamma 90.00
_space_group_name_H-M_alt 'I m m a'
_space_group_IT_number 74
_space_group_name_Hall '-I 2b 2'
loop_
_atom_site_label
_atom_site_fract_x
_atom_site_fract_y
_atom_site_fract_z
Dy1 0.000 0.000 0.000
Zn1 0.000 0.250 0.381
Pt1 0.250 0.250 0.750
O1 0.000 0.045 0.743
O2 0.232 0.250 0.027
```

***

- Among the records above, which one has the lowest uncorrected energy?
  YTh5Sb4

***

- What is the formula in the eighth record?
  MgReAg2Mo

***

- What is the volume in the first record?
  45.1 A^3/atom